Entry 1:
An optimized crystal structure of MgTl2RhF6, computed with GGA-PBE.

Results
formation energy without anion corrections	-2097	meV per atom
E_tot	-4.59	eV/atom

```
MgTl2RhF6
1.0
-2.915 2.915 4.550
2.915 -2.915 4.550
2.915 2.915 -4.550
Mg Tl Rh F
1 2 1 6
Direct
0.000 0.000 0.000 Mg
0.250 0.750 0.500 Tl
0.750 0.250 0.500 Tl
0.500 0.500 0.000 Rh
0.219 0.219 0.000 F
0.249 0.249 0.497 F
0.249 0.751 0.000 F
0.751 0.249 0.000 F
0.751 0.751 0.503 F
0.781 0.781 0.000 F
```

=====

Entry 2:
An optimized crystal structure of LiP2Rh, computed with GGA-PBE.

Results
distance to the lowest polymorph of the same formula	16.6	meV/atom
E_form	-0.42	eV/atom
E_tot	-5.44	eV/atom

```
LiP2Rh
1.0
3.731 -1.704 0.000
3.731 1.704 0.000
-1.115 0.000 4.807
Li P Rh
1 2 1
Direct
0.000 0.000 0.000 Li
0.230 0.230 0.682 P
0.770 0.770 0.318 P
0.500 0.500 0.500 Rh
```

=====

Entry 3:
An optimized crystal structure of Nd12Pd3O5, computed with GGA-PBE.

Results
formation energy without anion corrections	-1519	meV per atom
E_tot	-6.40	eV/atom

```
Nd12Pd3O5
1.0
-7.915 7.915 7.915
7.915 -7.915 7.915
7.915 7.915 -7.915
Nd Pd O
48 12 20
Direct
0.019 0.204 0.114 Nd
0.019 0.315 0.905 Nd
0.090 0.704 0.685 Nd
0.090 0.886 0.405 Nd
0.095 0.614 0.410 Nd
0.095 0.981 0.685 Nd
0.114 0.019 0.204 Nd
0.114 0.595 0.910 Nd
0.185 0.204 0.590 Nd
0.185 0.481 0.595 Nd
0.204 0.114 0.019 Nd
0.204 0.590 0.185 Nd
0.296 0.315 0.910 Nd
0.296 0.481 0.386 Nd
0.315 0.905 0.019 Nd
0.315 0.910 0.296 Nd
0.386 0.296 0.481 Nd
0.386 0.590 0.905 Nd
0.405 0.090 0.886 Nd
0.405 0.815 0.519 Nd
0.410 0.095 0.614 Nd
0.410 0.815 0.796 Nd
0.481 0.386 0.296 Nd
0.481 0.595 0.185 Nd
0.519 0.405 0.815 Nd
0.519 0.614 0.704 Nd
0.590 0.185 0.204 Nd
0.590 0.905 0.386 Nd
0.595 0.185 0.481 Nd
0.595 0.910 0.114 Nd
0.614 0.410 0.095 Nd
0.614 0.704 0.519 Nd
0.685 0.090 0.704 Nd
0.685 0.095 0.981 Nd
0.704 0.519 0.614 Nd
0.704 0.685 0.090 Nd
0.796 0.410 0.815 Nd
0.796 0.886 0.981 Nd
0.815 0.519 0.405 Nd
0.815 0.796 0.410 Nd
0.886 0.405 0.090 Nd
0.886 0.981 0.796 Nd
0.905 0.019 0.315 Nd
0.905 0.386 0.590 Nd
0.910 0.114 0.595 Nd
0.910 0.296 0.315 Nd
0.981 0.685 0.095 Nd
0.981 0.796 0.886 Nd
0.125 0.250 0.375 Pd
0.125 0.375 0.750 Pd
0.250 0.375 0.125 Pd
0.250 0.875 0.625 Pd
0.375 0.125 0.250 Pd
0.375 0.750 0.125 Pd
0.625 0.250 0.875 Pd
0.625 0.875 0.750 Pd
0.750 0.125 0.375 Pd
0.750 0.625 0.875 Pd
0.875 0.625 0.250 Pd
0.875 0.750 0.625 Pd
0.000 0.000 0.000 O
0.000 0.000 0.500 O
0.000 0.500 0.000 O
0.000 0.500 0.500 O
0.125 0.750 0.875 O
0.125 0.875 0.250 O
0.250 0.125 0.875 O
0.250 0.625 0.375 O
0.375 0.250 0.625 O
0.375 0.625 0.750 O
0.500 0.000 0.000 O
0.500 0.000 0.500 O
0.500 0.500 0.000 O
0.500 0.500 0.500 O
0.625 0.375 0.250 O
0.625 0.750 0.375 O
0.750 0.375 0.625 O
0.750 0.875 0.125 O
0.875 0.125 0.750 O
0.875 0.250 0.125 O
```

=====

Entry 4:
An optimized crystal structure of La2AgMo, computed with GGA-PBE.

Results
distance to the lowest polymorph of the same formula	308.6	meV/atom
E_form	0.49	eV/atom
E_tot	-5.40	eV/atom

```
La2AgMo
1.0
-4.036 4.036 3.180
4.036 -4.036 3.180
4.036 4.036 -3.180
La Ag Mo
4 2 2
Direct
0.076 0.125 0.451 La
0.375 0.924 0.049 La
0.674 0.625 0.549 La
0.875 0.326 0.951 La
0.250 0.750 0.500 Ag
0.500 0.500 0.000 Ag
0.000 0.000 0.000 Mo
0.750 0.250 0.500 Mo
```

=====

Entry 5:
An optimized crystal structure of LaAg2As, computed with GGA-PBE.

Results
E_form	-0.22	eV/atom
E_tot	-4.04	eV/atom

```
LaAg2As
1.0
4.017 0.000 0.000
0.000 4.017 0.000
0.000 0.000 5.962
La Ag As
1 2 1
Direct
0.000 0.000 0.000 La
0.500 0.500 0.266 Ag
0.500 0.500 0.734 Ag
0.000 0.000 0.500 As
```

=====

Entry 6:
An optimized crystal structure of Ti2RhS4, computed with GGA-PBE.

Results
formation energy without anion corrections	-1024	meV per atom
E_tot	-6.69	eV/atom

```
Ti2RhS4
1.0
4.889 -5.098 0.000
4.889 5.098 0.000
-4.881 0.000 5.100
Ti Rh S
4 2 8
Direct
0.000 0.000 0.000 Ti
0.000 0.000 0.500 Ti
0.000 0.500 0.000 Ti
0.500 0.000 0.500 Ti
0.375 0.625 0.750 Rh
0.625 0.375 0.250 Rh
0.231 0.749 0.482 S
0.232 0.250 0.982 S
0.250 0.232 0.482 S
0.251 0.769 0.018 S
0.749 0.231 0.982 S
0.750 0.768 0.518 S
0.768 0.750 0.018 S
0.769 0.251 0.518 S
```

=====

Entry 7:
An optimized crystal structure of ZrAlAu, computed with GGA-PBE.

Results
E_form	-0.49	eV/atom
E_tot	-5.68	eV/atom

```
ZrAlAu
1.0
5.416 0.000 0.000
0.000 3.115 0.000
-1.797 0.000 6.740
Zr Al Au
2 2 2
Direct
0.118 0.000 0.310 Zr
0.882 0.000 0.690 Zr
0.243 0.500 0.997 Al
0.757 0.500 0.003 Al
0.383 0.500 0.669 Au
0.617 0.500 0.331 Au
```

=====

Entry 8:
An optimized crystal structure of MnBe2Ag, computed with GGA-PBE.

Results
distance to the lowest polymorph of the same formula	267.1	meV/atom
E_form	0.32	eV/atom
E_tot	-4.55	eV/atom

```
MnBe2Ag
1.0
0.000 2.919 2.919
2.919 0.000 2.919
2.919 2.919 0.000
Mn Be Ag
1 2 1
Direct
0.000 0.000 0.000 Mn
0.500 0.500 0.500 Be
0.750 0.750 0.750 Be
0.250 0.250 0.250 Ag
```

=====

Entry 9:
An optimized crystal structure of Mn2Tl2Te2S, computed with GGA-PBE.

Results
formation energy without anion corrections	-237	meV per atom
E_tot	-5.02	eV/atom

```
Mn2Tl2Te2S
1.0
-2.372 2.372 8.805
2.372 -2.372 8.805
2.372 2.372 -8.805
Mn Tl Te S
2 2 2 1
Direct
0.000 0.500 0.500 Mn
0.500 0.000 0.500 Mn
0.180 0.180 0.000 Tl
0.820 0.820 0.000 Tl
0.388 0.388 0.000 Te
0.612 0.612 0.000 Te
0.000 0.000 0.000 S
```

=====

Entry 10:
An optimized crystal structure of LiY2ErSe4, computed with GGA-PBE.

Results
formation energy without anion corrections	-1743	meV per atom
E_tot	-5.91	eV/atom

```
LiY2ErSe4
1.0
6.996 0.000 0.000
0.000 4.033 0.000
-2.313 0.000 6.616
Li Y Er Se
1 2 1 4
Direct
0.000 0.000 0.000 Li
0.000 0.500 0.500 Y
0.500 0.000 0.500 Y
0.500 0.500 0.000 Er
0.243 0.500 0.241 Se
0.247 0.000 0.759 Se
0.753 0.000 0.241 Se
0.757 0.500 0.759 Se
```

=====

Entry 11:
An optimized crystal structure of ZrCo3, computed with GGA-PBE.

Results
E_form	-0.10	eV/atom
E_tot	-7.57	eV/atom

```
ZrCo3
1.0
-1.872 1.872 7.561
1.872 -1.872 7.561
1.872 1.872 -7.561
Zr Co
2 6
Direct
0.122 0.122 0.000 Zr
0.878 0.878 0.000 Zr
0.000 0.500 0.500 Co
0.250 0.750 0.500 Co
0.373 0.373 0.000 Co
0.500 0.000 0.500 Co
0.627 0.627 0.000 Co
0.750 0.250 0.500 Co
```

=====

Entry 12:
An optimized crystal structure of TbPmHo2As4, computed with GGA-PBE.

Results
E_form	-1.53	eV/atom
E_tot	-6.17	eV/atom

```
TbPmHo2As4
1.0
7.177 0.000 0.000
0.000 4.147 0.000
-2.393 0.000 6.768
Tb Pm Ho As
1 1 2 4
Direct
0.000 0.000 0.000 Tb
0.000 0.500 0.500 Pm
0.500 0.000 0.500 Ho
0.500 0.500 0.000 Ho
0.255 0.500 0.249 As
0.257 0.000 0.755 As
0.743 0.000 0.245 As
0.745 0.500 0.751 As
```

=====

Entry 13:
An optimized crystal structure of RbTaGeTe, computed with GGA-PBE.

Results
formation energy without anion corrections	-132	meV per atom
distance to the lowest polymorph of the same formula	4.1	meV/atom
E_tot	-5.28	eV/atom

```
RbTaGeTe
1.0
1.978 1.142 8.474
-1.978 1.142 8.474
0.000 -2.284 8.474
Rb Ta Ge Te
1 1 1 1
Direct
0.000 0.000 0.000 Rb
0.484 0.484 0.484 Ta
0.768 0.768 0.768 Ge
0.221 0.221 0.221 Te
```

=====

Entry 14:
An optimized crystal structure of NaAcTc2O7, computed with GGA-PBE.

Results
formation energy without anion corrections	-1890	meV per atom
E_tot	-7.42	eV/atom

```
NaAcTc2O7
1.0
-1.972 1.972 10.355
1.972 -1.972 10.355
1.972 1.972 -10.355
Na Ac Tc O
1 1 2 7
Direct
0.000 0.000 0.000 Na
0.250 0.750 0.500 Ac
0.645 0.145 0.500 Tc
0.855 0.355 0.500 Tc
0.156 0.156 0.000 O
0.336 0.336 0.000 O
0.559 0.059 0.500 O
0.664 0.664 0.000 O
0.750 0.250 0.500 O
0.844 0.844 0.000 O
0.941 0.441 0.500 O
```

=====

Entry 15:
An optimized crystal structure of AlZnTc2, computed with GGA-PBE.

Results
distance to the lowest polymorph of the same formula	259.5	meV/atom
E_form	0.05	eV/atom
E_tot	-6.38	eV/atom

```
AlZnTc2
1.0
2.609 -3.952 0.000
2.609 3.952 0.000
0.000 0.000 2.811
Al Zn Tc
1 1 2
Direct
0.000 0.000 0.000 Al
0.500 0.500 0.000 Zn
0.000 0.500 0.500 Tc
0.500 0.000 0.500 Tc
```

=====

Entry 16:
An optimized crystal structure of PmTmAlPt, computed with GGA-PBE.

Results
E_form	-0.69	eV/atom
E_tot	-5.44	eV/atom

```
PmTmAlPt
1.0
0.000 3.583 3.583
3.583 0.000 3.583
3.583 3.583 0.000
Pm Tm Al Pt
1 1 1 1
Direct
0.000 0.000 0.000 Pm
0.500 0.500 0.500 Tm
0.250 0.250 0.250 Al
0.750 0.750 0.750 Pt
```

=====

Entry 17:
An optimized crystal structure of PrSmTmAl, computed with GGA-PBE.

Results
distance to the lowest polymorph of the same formula	112.8	meV/atom
E_form	-0.07	eV/atom
E_tot	-4.50	eV/atom

```
PrSmTmAl
1.0
0.000 3.841 3.841
3.841 0.000 3.841
3.841 3.841 0.000
Pr Sm Tm Al
1 1 1 1
Direct
0.000 0.000 0.000 Pr
0.500 0.500 0.500 Sm
0.250 0.250 0.250 Tm
0.750 0.750 0.750 Al
```

=====

Entry 18:
An optimized crystal structure of Nd2Ni4Sb3Au, computed with GGA-PBE.

Results
formation energy without anion corrections	-617	meV per atom
E_tot	-5.45	eV/atom

```
Nd2Ni4Sb3Au
1.0
4.412 0.000 0.000
0.000 4.412 0.000
0.000 0.000 10.075
Nd Ni Sb Au
2 4 3 1
Direct
0.000 0.500 0.243 Nd
0.500 0.000 0.757 Nd
0.000 0.000 0.000 Ni
0.000 0.500 0.625 Ni
0.500 0.000 0.375 Ni
0.500 0.500 0.000 Ni
0.000 0.500 0.871 Sb
0.500 0.000 0.129 Sb
0.500 0.500 0.500 Sb
0.000 0.000 0.500 Au
```

=====

Entry 19:
An optimized crystal structure of Ti6Al3W, computed with GGA-PBE.

Results
E_form	-0.27	eV/atom
E_tot	-7.42	eV/atom

```
Ti6Al3W
1.0
7.681 0.000 0.000
0.000 4.620 0.000
-3.283 0.000 9.260
Ti Al W
12 6 2
Direct
0.043 0.250 0.415 Ti
0.161 0.750 0.180 Ti
0.261 0.250 0.012 Ti
0.354 0.250 0.320 Ti
0.356 0.750 0.795 Ti
0.423 0.250 0.614 Ti
0.577 0.750 0.386 Ti
0.644 0.250 0.205 Ti
0.646 0.750 0.680 Ti
0.739 0.750 0.988 Ti
0.839 0.250 0.820 Ti
0.957 0.750 0.585 Ti
0.050 0.750 0.884 Al
0.137 0.250 0.719 Al
0.266 0.750 0.477 Al
0.734 0.250 0.523 Al
0.863 0.750 0.281 Al
0.950 0.250 0.116 Al
0.453 0.750 0.099 W
0.547 0.250 0.901 W
```

=====

Entry 20:
An optimized crystal structure of AcLaZnIn, computed with GGA-PBE.

Results
E_form	-0.35	eV/atom
E_tot	-3.61	eV/atom

```
AcLaZnIn
1.0
0.000 3.952 3.952
3.952 0.000 3.952
3.952 3.952 0.000
Ac La Zn In
1 1 1 1
Direct
0.000 0.000 0.000 Ac
0.500 0.500 0.500 La
0.750 0.750 0.750 Zn
0.250 0.250 0.250 In
```